Entry 1:
Entry from Alexandria via LeMat-Bulk: crystalline YHgAu at its relaxed geometry (PBEsol).

Total DFT energy (no corrections)   -4.4407 eV per atom
Symmetry   P-6m2, No. 187
Mass density   12.45 g cm⁻³

Unit cell a=4.7469 b=4.7469 c=3.3244 alpha=90.00 beta=90.00 gamma=120.00
Closest atoms and distances in Å follow each position.
Fractional coordinates of all 3 atoms:
Y  0.0000  0.0000  0.0000  6 Au 3.21, 6 Hg 3.21, 2 Y 3.32
Hg  0.6667  0.3333  0.5000  3 Au 2.74
Au  0.3333  0.6667  0.5000  3 Hg 2.74

Entry 2:
Entry from Alexandria via LeMat-Bulk: crystalline ZnHgAu2 at its relaxed geometry (PBEsol).

Total DFT energy (no corrections)   -2.5506 eV per atom
Symmetry   R-3m, No. 166
Mass density   15.85 g cm⁻³

Unit cell a=9.2576 b=9.2576 c=9.2576 alpha=18.41 beta=18.41 gamma=18.41
Closest atoms and distances in Å follow each position.
Fractional coordinates of all 4 atoms:
Zn  0.0000  0.0000  0.0000  6 Au 2.66, 6 Zn 2.96
Hg  0.5000  0.5000  0.5000  6 Hg 2.96, 6 Au 3.04
Au  0.2587  0.2587  0.2587  3 Zn 2.66, 6 Au 2.96
Au  0.7413  0.7413  0.7413  3 Zn 2.66, 6 Au 2.96

Entry 3:
Entry from Alexandria via LeMat-Bulk: crystalline Zn2HgAu at its relaxed geometry (PBEsol).

Total DFT energy (no corrections)   -1.9567 eV per atom
Symmetry   Pmmm, No. 47
Mass density   13.16 g cm⁻³

Unit cell a=3.2930 b=3.5265 c=5.7420 alpha=90.00 beta=90.00 gamma=90.00
Closest atoms and distances in Å follow each position.
Fractional coordinates of all 4 atoms:
Zn  0.0000  0.0000  0.2312  1 Zn 2.65, 4 Au 2.75, 4 Hg 2.86
Zn  0.0000  0.0000  0.7688  1 Zn 2.65, 4 Au 2.75, 4 Hg 2.86
Hg  0.5000  0.5000  0.5000  8 Zn 2.86, 2 Au 2.87
Au  0.5000  0.5000  0.0000  8 Zn 2.75, 2 Hg 2.87

Entry 4:
Entry from Alexandria via LeMat-Bulk: crystalline Zn2HgAu at its relaxed geometry (PBEsol).

Total DFT energy (no corrections)   -1.8484 eV per atom
Symmetry   F-43m, No. 216
Mass density   13.13 g cm⁻³

Unit cell a=4.5547 b=4.5547 c=4.5547 alpha=60.00 beta=60.00 gamma=60.00
Closest atoms and distances in Å follow each position.
Fractional coordinates of all 4 atoms:
Zn  0.0000  0.0000  0.0000  4 Hg 2.79, 4 Zn 2.79
Zn  0.2500  0.2500  0.2500  4 Au 2.79, 4 Zn 2.79
Hg  0.7500  0.7500  0.7500  4 Au 2.79, 4 Zn 2.79
Au  0.5000  0.5000  0.5000  4 Hg 2.79, 4 Zn 2.79

Entry 5:
Entry from Alexandria via LeMat-Bulk: crystalline Zn2HgAu at its relaxed geometry (PBEsol).

Total DFT energy (no corrections)   -1.9709 eV per atom
Symmetry   Pmm2, No. 25
Mass density   13.06 g cm⁻³

Unit cell a=3.3824 b=3.6037 c=5.5113 alpha=90.00 beta=90.00 gamma=90.00
Closest atoms and distances in Å follow each position.
Fractional coordinates of all 4 atoms:
Zn  0.0000  0.0000  0.0000  1 Au 2.58, 4 Hg 2.78, 4 Zn 2.87
Zn  0.5000  0.5000  0.2639  4 Au 2.71, 2 Hg 2.72-2.79, 4 Zn 2.87
Hg  0.5000  0.5000  0.7701  6 Zn 2.72-2.79, 4 Au 2.98
Au  0.0000  0.0000  0.4676  5 Zn 2.58-2.71

Entry 6:
Entry from Alexandria via LeMat-Bulk: crystalline Zn2HgAu at its relaxed geometry (PBEsol).

Total DFT energy (no corrections)   -1.8954 eV per atom
Symmetry   P2/m, No. 10
Mass density   12.46 g cm⁻³

Unit cell a=3.1138 b=4.5284 c=5.0170 alpha=90.00 beta=95.66 gamma=90.00
Closest atoms and distances in Å follow each position.
Fractional coordinates of all 4 atoms:
Zn  0.2408  0.0000  0.2654  2 Au 2.64, 2 Hg 2.70, 3 Zn 2.72-2.92
Zn  0.7592  0.0000  0.7346  2 Au 2.64, 2 Hg 2.70, 3 Zn 2.72-2.92
Hg  0.0000  0.5000  0.0000  4 Zn 2.70, 2 Au 2.82
Au  0.5000  0.5000  0.5000  4 Zn 2.64, 2 Hg 2.82